(1)
# Sc2CdPb PBEsol optimized geometry
data_Sc2CdPb
_chemical_formula_sum 'Sc2 Cd1 Pb1'
_cell_length_a 3.2993
_cell_length_b 4.0653
_cell_length_c 6.5603
_cell_angle_alpha 90.00
_cell_angle_beta 90.00
_cell_angle_gamma 90.00
_symmetry_space_group_name_H-M 'P m m m'
_symmetry_Int_Tables_number 47
loop_
_symmetry_equiv_pos_as_xyz
'x,y,z'
'-x,-y,-z'
'-x,-y,z'
'x,y,-z'
'x,-y,-z'
'-x,y,z'
'-x,y,-z'
'x,-y,z'
loop_
_atom_site_label
_atom_site_type_symbol
_atom_site_fract_x
_atom_site_fract_y
_atom_site_fract_z
Sc1 Sc 0.0000 0.0000 0.2453
Cd1 Cd 0.5000 0.5000 0.0000
Pb1 Pb 0.5000 0.5000 0.5000
# M_tot in μB per formula unit: 0.0
# Density in Mg/m³: 7.73
# Formation energy in eV/atom: -0.381
# Total energy in eV/f.u.: -19.9
# Crystal system: orthorhombic


(2)
# ScCd2Pb PBEsol optimized geometry
data_ScCd2Pb
_chemical_formula_sum 'Sc2 Cd4 Pb2'
_cell_length_a 5.9668
_cell_length_b 8.9812
_cell_length_c 3.4287
_cell_angle_alpha 90.00
_cell_angle_beta 90.00
_cell_angle_gamma 90.00
_symmetry_space_group_name_H-M 'C m m m'
_symmetry_Int_Tables_number 65
_symmetry_space_group_name_Hall '-C 2 2'
loop_
_atom_site_label
_atom_site_type_symbol
_atom_site_fract_x
_atom_site_fract_y
_atom_site_fract_z
Sc1 Sc 0.0000 0.0000 0.0000
Cd1 Cd 0.2500 0.2500 0.5000
Pb1 Pb 0.0000 0.5000 0.0000
# M_tot in μB per formula unit: 0.0
# Density in Mg/m³: 8.62
# Formation energy in eV/atom: -0.168
# Total energy in eV/f.u.: -13.7
# Crystal system: orthorhombic


(3)
# Sc2CdPb PBEsol optimized geometry
data_Sc2CdPb
_chemical_formula_sum 'Sc4 Cd2 Pb2'
_cell_length_a 9.4089
_cell_length_b 3.3558
_cell_length_c 6.0536
_cell_angle_alpha 90.00
_cell_angle_beta 100.80
_cell_angle_gamma 90.00
_symmetry_space_group_name_H-M 'C 1 2/m 1'
_symmetry_Int_Tables_number 12
loop_
_symmetry_equiv_pos_as_xyz
'x,y,z'
'-x,-y,-z'
'-x,y,-z'
'x,-y,z'
'x+1/2,y+1/2,z'
'-x+1/2,-y+1/2,-z'
'-x+1/2,y+1/2,-z'
'x+1/2,-y+1/2,z'
loop_
_atom_site_label
_atom_site_type_symbol
_atom_site_fract_x
_atom_site_fract_y
_atom_site_fract_z
Sc1 Sc 0.2496 0.0000 0.2376
Cd1 Cd 0.0000 0.5000 0.0000
Pb1 Pb 0.0000 0.0000 0.5000
# M_tot in μB per formula unit: 0.0
# Density in Mg/m³: 7.24
# Formation energy in eV/atom: -0.242
# Total energy in eV/f.u.: -19.4
# Crystal system: monoclinic


(4)
# ScCd2Pb PBEsol optimized geometry
data_ScCd2Pb
_chemical_formula_sum 'Sc2 Cd4 Pb2'
_cell_length_a 11.5164
_cell_length_b 3.4961
_cell_length_c 4.8354
_cell_angle_alpha 90.00
_cell_angle_beta 111.28
_cell_angle_gamma 90.00
_symmetry_space_group_name_H-M 'C 1 2/m 1'
_symmetry_Int_Tables_number 12
loop_
_symmetry_equiv_pos_as_xyz
'x,y,z'
'-x,-y,-z'
'-x,y,-z'
'x,-y,z'
'x+1/2,y+1/2,z'
'-x+1/2,-y+1/2,-z'
'-x+1/2,y+1/2,-z'
'x+1/2,-y+1/2,z'
loop_
_atom_site_label
_atom_site_type_symbol
_atom_site_fract_x
_atom_site_fract_y
_atom_site_fract_z
Sc1 Sc 0.0000 0.0000 0.0000
Cd1 Cd 0.2407 0.5000 0.2401
Pb1 Pb 0.0000 0.5000 0.5000
# M_tot in μB per formula unit: 0.0
# Density in Mg/m³: 8.73
# Formation energy in eV/atom: -0.177
# Total energy in eV/f.u.: -13.7
# Crystal system: monoclinic


(5)
# Sc2CdPb PBEsol optimized geometry
data_Sc2CdPb
_chemical_formula_sum 'Sc2 Cd1 Pb1'
_cell_length_a 4.5752
_cell_length_b 4.5752
_cell_length_c 4.1864
_cell_angle_alpha 90.00
_cell_angle_beta 90.00
_cell_angle_gamma 90.00
_symmetry_space_group_name_H-M 'P 4/m m m'
_symmetry_Int_Tables_number 123
_symmetry_space_group_name_Hall '-P 4 2'
loop_
_atom_site_label
_atom_site_type_symbol
_atom_site_fract_x
_atom_site_fract_y
_atom_site_fract_z
Sc1 Sc 0.0000 0.5000 0.0000
Cd1 Cd 0.0000 0.0000 0.5000
Pb1 Pb 0.5000 0.5000 0.5000
# M_tot in μB per formula unit: 0.9
# Density in Mg/m³: 7.76
# Formation energy in eV/atom: -0.384
# Total energy in eV/f.u.: -19.9
# Crystal system: tetragonal


(6)
# Sc2CdPb PBEsol optimized geometry
data_Sc2CdPb
_chemical_formula_sum 'Sc4 Cd2 Pb2'
_cell_length_a 4.5498
_cell_length_b 4.5498
_cell_length_c 8.4332
_cell_angle_alpha 90.00
_cell_angle_beta 90.00
_cell_angle_gamma 90.00
_symmetry_space_group_name_H-M 'I 4/m m m'
_symmetry_Int_Tables_number 139
_symmetry_space_group_name_Hall '-I 4 2'
loop_
_atom_site_label
_atom_site_type_symbol
_atom_site_fract_x
_atom_site_fract_y
_atom_site_fract_z
Sc1 Sc 0.0000 0.5000 0.2500
Cd1 Cd 0.0000 0.0000 0.0000
Pb1 Pb 0.0000 0.0000 0.5000
# M_tot in μB per formula unit: 0.8
# Density in Mg/m³: 7.79
# Formation energy in eV/atom: -0.378
# Total energy in eV/f.u.: -19.9
# Crystal system: tetragonal


(7)
# ScCd2Pb PBEsol optimized geometry
data_ScCd2Pb
_chemical_formula_sum 'Sc1 Cd2 Pb1'
_cell_length_a 4.3181
_cell_length_b 4.3181
_cell_length_c 4.6934
_cell_angle_alpha 90.00
_cell_angle_beta 90.00
_cell_angle_gamma 90.00
_symmetry_space_group_name_H-M 'P 4/m m m'
_symmetry_Int_Tables_number 123
_symmetry_space_group_name_Hall '-P 4 2'
loop_
_atom_site_label
_atom_site_type_symbol
_atom_site_fract_x
_atom_site_fract_y
_atom_site_fract_z
Sc1 Sc 0.0000 0.0000 0.0000
Cd1 Cd 0.0000 0.5000 0.5000
Pb1 Pb 0.5000 0.5000 0.0000
# M_tot in μB per formula unit: 0.0
# Density in Mg/m³: 9.05
# Formation energy in eV/atom: -0.280
# Total energy in eV/f.u.: -14.1
# Crystal system: tetragonal


(8)
# CdPb3Se4 PBEsol optimized geometry
data_CdPb3Se4
_chemical_formula_sum 'Cd3 Pb9 Se12'
_cell_length_a 4.2309
_cell_length_b 4.2309
_cell_length_c 41.2944
_cell_angle_alpha 90.00
_cell_angle_beta 90.00
_cell_angle_gamma 120.00
_symmetry_space_group_name_H-M 'R -3 m'
_symmetry_Int_Tables_number 166
_symmetry_space_group_name_Hall '-R 3 2"'
loop_
_atom_site_label
_atom_site_type_symbol
_atom_site_fract_x
_atom_site_fract_y
_atom_site_fract_z
Cd1 Cd 0.0000 0.0000 0.0000
Pb1 Pb 0.0000 0.0000 0.2534
Pb2 Pb 0.0000 0.0000 0.5000
Se1 Se 0.0000 0.0000 0.1232
Se2 Se 0.0000 0.0000 0.3691
# M_tot in μB per formula unit: 0.0
# Density in Mg/m³: 8.17
# Total energy in eV/f.u.: -32.7
# Crystal system: trigonal


(9)
# Cd2PbSe PBEsol optimized geometry
data_Cd2PbSe
_chemical_formula_sum 'Cd8 Pb4 Se4'
_cell_length_a 7.2484
_cell_length_b 7.2484
_cell_length_c 7.2484
_cell_angle_alpha 90.00
_cell_angle_beta 90.00
_cell_angle_gamma 90.00
_symmetry_space_group_name_H-M 'F m -3 m'
_symmetry_Int_Tables_number 225
_symmetry_space_group_name_Hall '-F 4 2 3'
loop_
_atom_site_label
_atom_site_type_symbol
_atom_site_fract_x
_atom_site_fract_y
_atom_site_fract_z
Cd1 Cd 0.2500 0.2500 0.2500
Pb1 Pb 0.0000 0.0000 0.0000
Se1 Se 0.0000 0.0000 0.5000
# M_tot in μB per formula unit: 0.0
# Density in Mg/m³: 8.91
# Total energy in eV/f.u.: -9.6
# Crystal system: cubic


(10)
# CdSi2Pb PBEsol optimized geometry
data_CdSi2Pb
_chemical_formula_sum 'Cd1 Si2 Pb1'
_cell_length_a 3.3680
_cell_length_b 3.8987
_cell_length_c 6.4947
_cell_angle_alpha 90.00
_cell_angle_beta 92.07
_cell_angle_gamma 90.00
_symmetry_space_group_name_H-M 'P 1 2/m 1'
_symmetry_Int_Tables_number 10
loop_
_symmetry_equiv_pos_as_xyz
'x,y,z'
'-x,-y,-z'
'-x,y,-z'
'x,-y,z'
loop_
_atom_site_label
_atom_site_type_symbol
_atom_site_fract_x
_atom_site_fract_y
_atom_site_fract_z
Cd1 Cd 0.0000 0.0000 0.0000
Si1 Si 0.4999 0.5000 0.1911
Pb1 Pb 0.0000 0.0000 0.5000
# M_tot in μB per formula unit: 0.0
# Density in Mg/m³: 7.32
# Total energy in eV/f.u.: -15.0
# Crystal system: monoclinic


(11)
# Cd2SiPb PBEsol optimized geometry
data_Cd2SiPb
_chemical_formula_sum 'Cd2 Si1 Pb1'
_cell_length_a 3.2944
_cell_length_b 3.2944
_cell_length_c 8.1973
_cell_angle_alpha 90.00
_cell_angle_beta 90.00
_cell_angle_gamma 90.00
_symmetry_space_group_name_H-M 'P 4/m m m'
_symmetry_Int_Tables_number 123
_symmetry_space_group_name_Hall '-P 4 2'
loop_
_atom_site_label
_atom_site_type_symbol
_atom_site_fract_x
_atom_site_fract_y
_atom_site_fract_z
Cd1 Cd 0.0000 0.0000 0.2111
Si1 Si 0.5000 0.5000 0.0000
Pb1 Pb 0.5000 0.5000 0.5000
# M_tot in μB per formula unit: 0.0
# Density in Mg/m³: 8.59
# Total energy in eV/f.u.: -11.1
# Crystal system: tetragonal


(12)
# CdSi2Pb PBEsol optimized geometry
data_CdSi2Pb
_chemical_formula_sum 'Cd4 Si8 Pb4'
_cell_length_a 6.1265
_cell_length_b 6.1265
_cell_length_c 11.6940
_cell_angle_alpha 90.00
_cell_angle_beta 90.00
_cell_angle_gamma 90.00
_symmetry_space_group_name_H-M 'I -4 2 d'
_symmetry_Int_Tables_number 122
_symmetry_space_group_name_Hall 'I -4 2bw'
loop_
_atom_site_label
_atom_site_type_symbol
_atom_site_fract_x
_atom_site_fract_y
_atom_site_fract_z
Cd1 Cd 0.0000 0.0000 0.0000
Si1 Si 0.2352 0.2500 0.1250
Pb1 Pb 0.0000 0.0000 0.5000
# M_tot in μB per formula unit: 0.0
# Density in Mg/m³: 5.69
# Total energy in eV/f.u.: -14.2
# Crystal system: tetragonal


(13)
# CdSiPb4 PBEsol optimized geometry
data_CdSiPb4
_chemical_formula_sum 'Cd4 Si4 Pb16'
_cell_length_a 8.8880
_cell_length_b 8.8880
_cell_length_c 8.8880
_cell_angle_alpha 90.00
_cell_angle_beta 90.00
_cell_angle_gamma 90.00
_symmetry_space_group_name_H-M 'F -4 3 m'
_symmetry_Int_Tables_number 216
_symmetry_space_group_name_Hall 'F -4 2 3'
loop_
_atom_site_label
_atom_site_type_symbol
_atom_site_fract_x
_atom_site_fract_y
_atom_site_fract_z
Cd1 Cd 0.0000 0.0000 0.0000
Si1 Si 0.2500 0.2500 0.7500
Pb1 Pb 0.1249 0.1249 0.3751
# M_tot in μB per formula unit: 0.0
# Density in Mg/m³: 9.17
# Total energy in eV/f.u.: -19.7
# Crystal system: cubic


(14)
# Cd2SiPb PBEsol optimized geometry
data_Cd2SiPb
_chemical_formula_sum 'Cd6 Si3 Pb3'
_cell_length_a 3.2627
_cell_length_b 3.2627
_cell_length_c 29.1800
_cell_angle_alpha 90.00
_cell_angle_beta 90.00
_cell_angle_gamma 120.00
_symmetry_space_group_name_H-M 'R 3 m'
_symmetry_Int_Tables_number 160
_symmetry_space_group_name_Hall 'R 3 -2"'
loop_
_atom_site_label
_atom_site_type_symbol
_atom_site_fract_x
_atom_site_fract_y
_atom_site_fract_z
Cd1 Cd 0.0000 0.0000 0.0000
Cd2 Cd 0.0000 0.0000 0.2528
Si1 Si 0.0000 0.0000 0.5134
Pb1 Pb 0.0000 0.0000 0.7623
# M_tot in μB per formula unit: 0.0
# Density in Mg/m³: 8.52
# Total energy in eV/f.u.: -11.0
# Crystal system: trigonal


(15)
# CdSiPb PBEsol optimized geometry
data_CdSiPb
_chemical_formula_sum 'Cd4 Si4 Pb4'
_cell_length_a 6.8353
_cell_length_b 6.8353
_cell_length_c 6.8353
_cell_angle_alpha 90.00
_cell_angle_beta 90.00
_cell_angle_gamma 90.00
_symmetry_space_group_name_H-M 'F -4 3 m'
_symmetry_Int_Tables_number 216
_symmetry_space_group_name_Hall 'F -4 2 3'
loop_
_atom_site_label
_atom_site_type_symbol
_atom_site_fract_x
_atom_site_fract_y
_atom_site_fract_z
Cd1 Cd 0.0000 0.0000 0.0000
Si1 Si 0.0000 0.0000 0.5000
Pb1 Pb 0.2500 0.2500 0.7500
# M_tot in μB per formula unit: 0.0
# Density in Mg/m³: 7.23
# Total energy in eV/f.u.: -9.3
# Crystal system: cubic


(16)
# Cd2SiPb PBEsol optimized geometry
data_Cd2SiPb
_chemical_formula_sum 'Cd4 Si2 Pb2'
_cell_length_a 4.4882
_cell_length_b 4.4882
_cell_length_c 8.8740
_cell_angle_alpha 90.00
_cell_angle_beta 90.00
_cell_angle_gamma 90.00
_symmetry_space_group_name_H-M 'I 4/m m m'
_symmetry_Int_Tables_number 139
_symmetry_space_group_name_Hall '-I 4 2'
loop_
_atom_site_label
_atom_site_type_symbol
_atom_site_fract_x
_atom_site_fract_y
_atom_site_fract_z
Cd1 Cd 0.0000 0.5000 0.2500
Si1 Si 0.0000 0.0000 0.0000
Pb1 Pb 0.0000 0.0000 0.5000
# M_tot in μB per formula unit: 0.0
# Density in Mg/m³: 8.55
# Total energy in eV/f.u.: -10.9
# Crystal system: tetragonal


(17)
# CdSiPb2 PBEsol optimized geometry
data_CdSiPb2
_chemical_formula_sum 'Cd3 Si3 Pb6'
_cell_length_a 3.3623
_cell_length_b 3.3623
_cell_length_c 30.6063
_cell_angle_alpha 90.00
_cell_angle_beta 90.00
_cell_angle_gamma 120.00
_symmetry_space_group_name_H-M 'R -3 m'
_symmetry_Int_Tables_number 166
_symmetry_space_group_name_Hall '-R 3 2"'
loop_
_atom_site_label
_atom_site_type_symbol
_atom_site_fract_x
_atom_site_fract_y
_atom_site_fract_z
Cd1 Cd 0.0000 0.0000 0.0000
Si1 Si 0.0000 0.0000 0.5000
Pb1 Pb 0.0000 0.0000 0.2430
# M_tot in μB per formula unit: 0.0
# Density in Mg/m³: 9.22
# Total energy in eV/f.u.: -13.7
# Crystal system: trigonal


(18)
# Cd2SiPb PBEsol optimized geometry
data_Cd2SiPb
_chemical_formula_sum 'Cd4 Si2 Pb2'
_cell_length_a 5.9472
_cell_length_b 11.1258
_cell_length_c 3.1316
_cell_angle_alpha 90.00
_cell_angle_beta 119.38
_cell_angle_gamma 90.00
_symmetry_space_group_name_H-M 'C 1 2/m 1'
_symmetry_Int_Tables_number 12
loop_
_symmetry_equiv_pos_as_xyz
'x,y,z'
'-x,-y,-z'
'-x,y,-z'
'x,-y,z'
'x+1/2,y+1/2,z'
'-x+1/2,-y+1/2,-z'
'-x+1/2,y+1/2,-z'
'x+1/2,-y+1/2,z'
loop_
_atom_site_label
_atom_site_type_symbol
_atom_site_fract_x
_atom_site_fract_y
_atom_site_fract_z
Cd1 Cd 0.2500 0.2500 0.0000
Si1 Si 0.0000 0.0000 0.0000
Pb1 Pb 0.0000 0.5000 0.0000
# M_tot in μB per formula unit: 0.0
# Density in Mg/m³: 8.46
# Total energy in eV/f.u.: -10.8
# Crystal system: monoclinic


(19)
# CdSiPb PBEsol optimized geometry
data_CdSiPb
_chemical_formula_sum 'Cd2 Si2 Pb2'
_cell_length_a 3.1435
_cell_length_b 3.8382
_cell_length_c 11.2776
_cell_angle_alpha 90.00
_cell_angle_beta 90.00
_cell_angle_gamma 90.00
_symmetry_space_group_name_H-M 'I m m 2'
_symmetry_Int_Tables_number 44
loop_
_symmetry_equiv_pos_as_xyz
'x,y,z'
'-x,-y,z'
'-x,y,z'
'x,-y,z'
'x+1/2,y+1/2,z+1/2'
'-x+1/2,-y+1/2,z+1/2'
'-x+1/2,y+1/2,z+1/2'
'x+1/2,-y+1/2,z+1/2'
loop_
_atom_site_label
_atom_site_type_symbol
_atom_site_fract_x
_atom_site_fract_y
_atom_site_fract_z
Cd1 Cd 0.0000 0.0000 0.0000
Si1 Si 0.0000 0.0000 0.3732
Pb1 Pb 0.0000 0.0000 0.7008
# M_tot in μB per formula unit: 0.0
# Density in Mg/m³: 8.49
# Total energy in eV/f.u.: -9.9
# Crystal system: orthorhombic


(20)
# Cd2SiPb PBEsol optimized geometry
data_Cd2SiPb
_chemical_formula_sum 'Cd4 Si2 Pb2'
_cell_length_a 3.4789
_cell_length_b 4.2690
_cell_length_c 12.6447
_cell_angle_alpha 90.00
_cell_angle_beta 90.00
_cell_angle_gamma 90.00
_symmetry_space_group_name_H-M 'I m m 2'
_symmetry_Int_Tables_number 44
loop_
_symmetry_equiv_pos_as_xyz
'x,y,z'
'-x,-y,z'
'-x,y,z'
'x,-y,z'
'x+1/2,y+1/2,z+1/2'
'-x+1/2,-y+1/2,z+1/2'
'-x+1/2,y+1/2,z+1/2'
'x+1/2,-y+1/2,z+1/2'
loop_
_atom_site_label
_atom_site_type_symbol
_atom_site_fract_x
_atom_site_fract_y
_atom_site_fract_z
Cd1 Cd 0.0000 0.0000 0.0000
Cd2 Cd 0.0000 0.5000 0.1758
Si1 Si 0.0000 0.0000 0.4939
Pb1 Pb 0.0000 0.5000 0.7989
# M_tot in μB per formula unit: 0.0
# Density in Mg/m³: 8.14
# Total energy in eV/f.u.: -11.1
# Crystal system: orthorhombic